Computed, not measured: an optimized crystal structure of NdGeF at the PBE level of DFT.

Unit cell a=4.851 b=4.011 c=4.011 alpha=120.00 beta=90.00 gamma=90.00
Sites, in units of the cell vectors:
Nd  0.167  0.000  0.000
F  0.166  0.333  0.667
Ge  0.667  0.667  0.333

## Properties
space-group type	P-6m2 (187)
DFT total energy	-5.485	eV per atom
V	22.53	Å³/atom
magnetic moment	0.00	μB/atom

---

Computed, not measured: an optimized crystal structure of Nd2GeF at the PBE level of DFT.

Unit cell a=4.043 b=4.043 c=7.376 alpha=74.09 beta=74.09 gamma=60.00
Sites, in units of the cell vectors:
Nd  0.256  0.256  0.232
Nd  0.083  0.083  0.750
Ge  0.669  0.669  0.993
F  0.492  0.492  0.525

## Properties
space-group type	R3m (160)
polymorph energy (0 for the lowest one)	154.1	meV per atom
V	24.76	Å³/atom
magnetic moment	0.00	μB/atom

---

Computed, not measured: an optimized crystal structure of Nd2GeF at the PBE level of DFT.

Unit cell a=4.426 b=4.426 c=8.076 alpha=74.10 beta=74.10 gamma=60.00
Sites, in units of the cell vectors:
Nd  0.899  0.899  0.302
Nd  0.101  0.101  0.698
Ge  0.500  0.500  0.500
F  0.000  0.000  0.000

## Properties
space-group type	R-3m (166)
polymorph energy (0 for the lowest one)	0.0	meV per atom
V	32.49	Å³/atom
magnetic moment	0.00	μB/atom